[1]
A plane-wave DFT calculation with GGA-PBEsol was carried out for a relaxed structure of OsPd2CO.

It has space group P4/mmm (No. 123), with a = 4.843 Å, b = 4.843 Å, c = 3.578 Å, α = 90.00°, β = 90.00° and γ = 90.00°. The inequivalent atoms are Os at (0.000, 0.000, 0.000), Pd at (0.000, 0.500, 0.000), C at (0.500, 0.500, 0.500) and O at (0.000, 0.000, 0.500).

[2]
A plane-wave DFT calculation with GGA-PBEsol was carried out for a relaxed structure of TlPCO2.

It has space group P4/mmm (No. 123), with a = 3.771 Å, b = 3.771 Å, c = 3.919 Å, α = 90.00°, β = 90.00° and γ = 90.00°. The inequivalent atoms are Tl at (0.000, 0.000, 0.000), P at (0.500, 0.500, 0.000), C at (0.500, 0.500, 0.500) and O at (0.000, 0.500, 0.500).

[3]
A plane-wave DFT calculation with GGA-PBEsol was carried out for a relaxed structure of ZrPCO2.

It has space group P4/mmm (No. 123), with a = 3.740 Å, b = 3.740 Å, c = 3.756 Å, α = 90.00°, β = 90.00° and γ = 90.00°. The inequivalent atoms are Zr at (0.000, 0.000, 0.000), P at (0.500, 0.500, 0.000), C at (0.500, 0.500, 0.500) and O at (0.000, 0.500, 0.500).

no.,ΔE_f (raw) (meV/atom),final energy (eV/atom),magnetization (μB/cell)
1,1757,-6.048,0.01
2,842,-4.871,0.00
3,-102,-7.106,0.00